Density functional theory data (GGA-PBE) for crystalline AcCe2Sn at its relaxed geometry.

Cell and atoms, written as CIF:
```
data_AcCe2Sn
_symmetry_space_group_name_H-M 'P 4/m m m'
_symmetry_Int_Tables_number 123
_symmetry_space_group_name_Hall '-P 4 2'
_cell_length_a 4.9530
_cell_length_b 4.9530
_cell_length_c 5.0236
_cell_angle_alpha 90.00
_cell_angle_beta 90.00
_cell_angle_gamma 90.00
loop_
_atom_site_label
_atom_site_type_symbol
_atom_site_fract_x
_atom_site_fract_y
_atom_site_fract_z
Ac1 Ac 0.0000 0.0000 0.0000
Ce1 Ce 0.0000 0.5000 0.5000
Sn1 Sn 0.5000 0.5000 0.0000
```

Values from the calculation:
* mass density: 8.43 g cm⁻³
* magnetic moment: 2.02 Bohr magnetons per cell
* V: 123.2 Å³/cell
* relative energy among the computed polymorphs: 0 meV per atom
* DFT total energy: -5.293 eV per atom
* ΔE_f: -0.30 eV/atom

---

Density functional theory data (GGA-PBE) for crystalline Ac2CeSn at its relaxed geometry.

Cell and atoms, written as CIF:
```
data_Ac2CeSn
_symmetry_space_group_name_H-M 'F m -3 m'
_symmetry_Int_Tables_number 225
_symmetry_space_group_name_Hall '-F 4 2 3'
_cell_length_a 8.2456
_cell_length_b 8.2456
_cell_length_c 8.2456
_cell_angle_alpha 90.00
_cell_angle_beta 90.00
_cell_angle_gamma 90.00
loop_
_atom_site_label
_atom_site_type_symbol
_atom_site_fract_x
_atom_site_fract_y
_atom_site_fract_z
Ac1 Ac 0.2500 0.2500 0.2500
Ce1 Ce 0.0000 0.0000 0.0000
Sn1 Sn 0.0000 0.0000 0.5000
```

Values from the calculation:
* mass density: 8.45 g cm⁻³
* magnetic moment: 3.28 Bohr magnetons per cell
* V: 560.6 Å³/cell
* relative energy among the computed polymorphs: 202 meV per atom
* DFT total energy: -4.619 eV per atom
* ΔE_f: -0.08 eV/atom

---

Density functional theory data (GGA-PBE) for crystalline Ac12CeSn6 at its relaxed geometry.

Cell and atoms, written as CIF:
```
data_Ac12CeSn6
_symmetry_space_group_name_H-M 'R -3'
_symmetry_Int_Tables_number 148
_symmetry_space_group_name_Hall '-R 3'
_cell_length_a 14.5318
_cell_length_b 14.5318
_cell_length_c 13.2682
_cell_angle_alpha 90.00
_cell_angle_beta 90.00
_cell_angle_gamma 120.00
loop_
_atom_site_label
_atom_site_type_symbol
_atom_site_fract_x
_atom_site_fract_y
_atom_site_fract_z
Ac1 Ac 0.0335 0.2031 0.3894
Ac2 Ac 0.0562 0.1993 0.8766
Ce1 Ce 0.0000 0.0000 0.0000
Sn1 Sn 0.0513 0.2825 0.6428
```

Values from the calculation:
* mass density: 7.34 g cm⁻³
* magnetic moment: 4.18 Bohr magnetons per cell
* V: 2426.5 Å³/cell
* DFT total energy: -4.389 eV per atom
* ΔE_f: -0.22 eV/atom

---

Density functional theory data (GGA-PBE) for crystalline Ac2CeSn4 at its relaxed geometry.

Cell and atoms, written as CIF:
```
data_Ac2CeSn4
_symmetry_space_group_name_H-M 'P 1 21/m 1'
_symmetry_Int_Tables_number 11
_cell_length_a 6.3375
_cell_length_b 6.5999
_cell_length_c 11.0131
_cell_angle_alpha 90.00
_cell_angle_beta 105.28
_cell_angle_gamma 90.00
loop_
_symmetry_equiv_pos_as_xyz
'x,y,z'
'-x,-y,-z'
'-x,y+1/2,-z'
'x,-y+1/2,z'
loop_
_atom_site_label
_atom_site_type_symbol
_atom_site_fract_x
_atom_site_fract_y
_atom_site_fract_z
Ac1 Ac 0.1230 0.2500 0.4119
Ac2 Ac 0.3337 0.7500 0.9839
Ce1 Ce 0.0245 0.2500 0.7989
Sn1 Sn 0.1981 0.2500 0.1106
Sn2 Sn 0.3306 0.7500 0.4654
Sn3 Sn 0.4165 0.0118 0.7165
```

Values from the calculation:
* mass density: 7.99 g cm⁻³
* magnetic moment: 2.53 Bohr magnetons per cell
* V: 444.4 Å³/cell
* DFT total energy: -4.807 eV per atom
* ΔE_f: -0.50 eV/atom

---

Density functional theory data (GGA-PBE) for crystalline AcCe2Sn at its relaxed geometry.

Cell and atoms, written as CIF:
```
data_AcCe2Sn
_symmetry_space_group_name_H-M 'P 4/m m m'
_symmetry_Int_Tables_number 123
_symmetry_space_group_name_Hall '-P 4 2'
_cell_length_a 4.2142
_cell_length_b 4.2142
_cell_length_c 7.3363
_cell_angle_alpha 90.00
_cell_angle_beta 90.00
_cell_angle_gamma 90.00
loop_
_atom_site_label
_atom_site_type_symbol
_atom_site_fract_x
_atom_site_fract_y
_atom_site_fract_z
Ac1 Ac 0.0000 0.0000 0.0000
Ce1 Ce 0.5000 0.5000 0.3127
Sn1 Sn 0.0000 0.0000 0.5000
```

Values from the calculation:
* mass density: 7.98 g cm⁻³
* magnetic moment: 2.01 Bohr magnetons per cell
* V: 130.3 Å³/cell
* relative energy among the computed polymorphs: 3 meV per atom
* DFT total energy: -5.290 eV per atom
* ΔE_f: -0.30 eV/atom

---

Density functional theory data (GGA-PBE) for crystalline Ac5CeSn6 at its relaxed geometry.

Cell and atoms, written as CIF:
```
data_Ac5CeSn6
_symmetry_space_group_name_H-M 'C 1 2/m 1'
_symmetry_Int_Tables_number 12
_cell_length_a 9.4543
_cell_length_b 18.0491
_cell_length_c 6.1067
_cell_angle_alpha 90.00
_cell_angle_beta 130.12
_cell_angle_gamma 90.00
loop_
_symmetry_equiv_pos_as_xyz
'x,y,z'
'-x,-y,-z'
'-x,y,-z'
'x,-y,z'
'x+1/2,y+1/2,z'
'-x+1/2,-y+1/2,-z'
'-x+1/2,y+1/2,-z'
'x+1/2,-y+1/2,z'
loop_
_atom_site_label
_atom_site_type_symbol
_atom_site_fract_x
_atom_site_fract_y
_atom_site_fract_z
Ac1 Ac 0.0000 0.0000 0.0000
Ac2 Ac 0.0000 0.1545 0.5000
Ac3 Ac 0.0000 0.3185 0.0000
Ce1 Ce 0.0000 0.5000 0.5000
Sn1 Sn 0.2084 0.5000 0.2086
Sn2 Sn 0.2221 0.3373 0.7221
```

Values from the calculation:
* mass density: 8.28 g cm⁻³
* magnetic moment: 4.35 Bohr magnetons per cell
* V: 796.8 Å³/cell
* DFT total energy: -4.807 eV per atom
* ΔE_f: -0.60 eV/atom

---

Question: Which formula does entry 5 have?
Answer: AcCe2Sn